#1
Compound: Mg2TeSe
Source: Alexandria via LeMat-Bulk
Functional: GGA-PBE
Structure: optimized geometry

Calculated values
D(E_F) = 0.000 states/eV per atom
Symmetry = R3m, No. 160

Cell: 7.676 7.676 7.676 Å, 33.45 33.45 33.45°
Atoms (fractional coordinates):
Mg 0.000 0.000 0.000
Mg 0.488 0.488 0.488
Te 0.871 0.871 0.871
Se 0.368 0.368 0.368

---

#2
Compound: Mg2TeSe
Source: Alexandria via LeMat-Bulk
Functional: GGA-PBE
Structure: optimized geometry

Calculated values
D(E_F) = 0.007 states/eV per atom
Symmetry = R-3m, No. 166

Cell: 7.048 7.048 7.048 Å, 33.53 33.53 33.53°
Atoms (fractional coordinates):
Mg 0.244 0.244 0.244
Mg 0.756 0.756 0.756
Te 0.000 0.000 0.000
Se 0.500 0.500 0.500

---

Which is the most stable structure? #1 is the most stable.

---

#1
Compound: MgTe3Se
Source: Alexandria via LeMat-Bulk
Functional: GGA-PBE
Structure: optimized geometry

Calculated values
D(E_F) = 2.296 states/eV per atom
Symmetry = Pm-3m, No. 221

Cell: 5.374 5.374 5.374 Å, 90.00 90.00 90.00°
Atoms (fractional coordinates):
Mg 0.000 0.000 0.000
Te 0.000 0.000 0.500
Te 0.000 0.500 0.000
Te 0.500 0.000 0.000
Se 0.500 0.500 0.500

---

#2
Compound: MgTe3Se
Source: Alexandria via LeMat-Bulk
Functional: GGA-PBE
Structure: optimized geometry

Calculated values
D(E_F) = 0.575 states/eV per atom
Symmetry = Pm-3m, No. 221

Cell: 5.462 5.462 5.462 Å, 90.00 90.00 90.00°
Atoms (fractional coordinates):
Mg 0.000 0.000 0.000
Te 0.000 0.500 0.500
Te 0.500 0.000 0.500
Te 0.500 0.500 0.000
Se 0.500 0.500 0.500

---

Which is the most stable structure? #2 is the most stable.

---

#1
Compound: Mg3TeSe
Source: Alexandria via LeMat-Bulk
Functional: GGA-PBE
Structure: optimized geometry

Calculated values
D(E_F) = 0.799 states/eV per atom
Symmetry = Pm-3m, No. 221

Cell: 5.196 5.196 5.196 Å, 90.00 90.00 90.00°
Atoms (fractional coordinates):
Mg 0.000 0.000 0.500
Mg 0.000 0.500 0.000
Mg 0.500 0.000 0.000
Te 0.500 0.500 0.500
Se 0.000 0.000 0.000

---

#2
Compound: Mg3TeSe
Source: Alexandria via LeMat-Bulk
Functional: GGA-PBE
Structure: optimized geometry

Calculated values
D(E_F) = 0.489 states/eV per atom
Symmetry = Pm-3m, No. 221

Cell: 5.493 5.493 5.493 Å, 90.00 90.00 90.00°
Atoms (fractional coordinates):
Mg 0.000 0.000 0.500
Mg 0.000 0.500 0.000
Mg 0.500 0.000 0.000
Te 0.000 0.000 0.000
Se 0.500 0.500 0.500

---

Which is the most stable structure? #1 is the most stable.

---

#1
Compound: Mg2TiSe2
Source: Alexandria via LeMat-Bulk
Functional: GGA-PBE
Structure: optimized geometry

Calculated values
D(E_F) = 1.107 states/eV per atom
Symmetry = P4/mbm, No. 127

Cell: 7.587 7.587 3.541 Å, 90.00 90.00 90.00°
Atoms (fractional coordinates):
Mg 0.135 0.365 0.000
Mg 0.365 0.865 0.000
Mg 0.635 0.135 0.000
Mg 0.865 0.635 0.000
Ti 0.000 0.000 0.000
Ti 0.500 0.500 0.000
Se 0.174 0.674 0.500
Se 0.326 0.174 0.500
Se 0.674 0.826 0.500
Se 0.826 0.326 0.500

---

#2
Compound: Mg2TiSe2
Source: Alexandria via LeMat-Bulk
Functional: GGA-PBE
Structure: optimized geometry

Calculated values
D(E_F) = 0.470 states/eV per atom
Symmetry = I4/mmm, No. 139

Cell: 5.656 5.656 5.656 Å, 126.95 126.95 78.33°
Atoms (fractional coordinates):
Mg 0.156 0.156 0.000
Mg 0.844 0.844 0.000
Ti 0.500 0.500 0.000
Se 0.250 0.750 0.500
Se 0.750 0.250 0.500

---

Which is the most stable structure? #1 is the most stable.

---

#1
Compound: Mg3TiSe
Source: Alexandria via LeMat-Bulk
Functional: GGA-PBE
Structure: optimized geometry

Calculated values
D(E_F) = 3.218 states/eV per atom
Symmetry = Pm-3m, No. 221

Cell: 5.046 5.046 5.046 Å, 90.00 90.00 90.00°
Atoms (fractional coordinates):
Mg 0.000 0.000 0.500
Mg 0.000 0.500 0.000
Mg 0.500 0.000 0.000
Ti 0.500 0.500 0.500
Se 0.000 0.000 0.000

---

#2
Compound: Mg3TiSe
Source: Alexandria via LeMat-Bulk
Functional: GGA-PBE
Structure: optimized geometry

Calculated values
D(E_F) = 1.398 states/eV per atom
Symmetry = Pm-3m, No. 221

Cell: 5.414 5.414 5.414 Å, 90.00 90.00 90.00°
Atoms (fractional coordinates):
Mg 0.000 0.000 0.500
Mg 0.000 0.500 0.000
Mg 0.500 0.000 0.000
Ti 0.000 0.000 0.000
Se 0.500 0.500 0.500

---

Which is the most stable structure? #1 is the most stable.

---

#1
Compound: Mg2TlSe
Source: Alexandria via LeMat-Bulk
Functional: GGA-PBE
Structure: optimized geometry

Calculated values
D(E_F) = 0.372 states/eV per atom
Symmetry = C2/m, No. 12

Cell: 3.761 3.761 8.110 Å, 103.74 103.74 59.98°
Atoms (fractional coordinates):
Mg 0.237 0.237 0.207
Mg 0.763 0.763 0.793
Tl 0.000 0.000 0.500
Se 0.500 0.500 0.000

---

#2
Compound: Mg2TlSe
Source: Alexandria via LeMat-Bulk
Functional: GGA-PBE
Structure: optimized geometry

Calculated values
D(E_F) = 0.335 states/eV per atom
Symmetry = I-4m2, No. 119

Cell: 6.416 6.416 6.416 Å, 142.92 142.92 53.45°
Atoms (fractional coordinates):
Mg 0.000 0.000 0.000
Mg 0.750 0.250 0.500
Tl 0.500 0.500 0.000
Se 0.250 0.750 0.500

---

Which is the most stable structure? #1 is the most stable.